1.
A plane-wave DFT calculation with meta-GGA SCAN was carried out for La2Se at its PBEsol-relaxed geometry.

Output
As for the raw total energy: -36.8028 eV/atom. For the raw formation energy, the calculation gives -1.37 eV per atom. Its density of states at the Fermi level is 1.22 states/eV/cell.

a = 4.0862 Å, b = 4.0862 Å, c = 6.7850 Å
α = 90.00°, β = 90.00°, γ = 120.00°
Space group P-3m1 (No. 164)
Asymmetric unit:
La 0.3333 0.6667 0.2326 x2
Se 0.0000 0.0000 0.5000 x1

***

2.
A plane-wave DFT calculation with meta-GGA SCAN was carried out for SiNi6Pt at its PBEsol-relaxed geometry.

Output
As for the raw total energy: -22.4037 eV/atom. For the raw formation energy, the calculation gives -0.25 eV per atom. Its density of states at the Fermi level is 54.06 states/eV/cell.

a = 7.047 Å, b = 9.990 Å, c = 9.997 Å
α = 90.00°, β = 90.00°, γ = 90.00°
Space group Cmmm (No. 65)
Asymmetric unit:
Si 0.000 0.000 0.247 x4
Si 0.000 0.252 0.000 x4
Ni 0.000 0.000 0.000 x2
Ni 0.000 0.000 0.500 x2
Ni 0.000 0.246 0.241 x8
Ni 0.000 0.500 0.000 x2
Ni 0.000 0.500 0.500 x2
Ni 0.242 0.123 0.369 x16
Ni 0.245 0.127 0.120 x16
Pt 0.000 0.252 0.500 x4
Pt 0.000 0.500 0.250 x4

***

3.
A plane-wave DFT calculation with meta-GGA SCAN was carried out for KTe2P2 at its PBEsol-relaxed geometry.

Output
As for the raw total energy: -20.5429 eV/atom. For the raw formation energy, the calculation gives 0.18 eV per atom. Its density of states at the Fermi level is 4.39 states/eV/cell.

a = 3.593 Å, b = 3.593 Å, c = 19.359 Å
α = 90.00°, β = 90.00°, γ = 90.00°
Space group I4/mmm (No. 139)
Asymmetric unit:
K 0.000 0.000 0.000 x2
Te 0.000 0.000 0.372 x4
P 0.000 0.500 0.250 x4

***

Question: Among the records above, which one has the highest raw formation energy?
Answer: KTe2P2

***

Question: Which of these has the lowest raw formation energy?
Answer: La2Se

***

Question: The lowest density of states at the Fermi level belongs to which entry?
Answer: La2Se